(1)
K5Na4Ge2: optimized geometry, PBE.

Computed properties:
uncorrected energy	-1.76	eV per atom

abc: 4.7218 9.9730 12.3579
angles: 113.80 101.01 90.00
Atoms (fractional coordinates):
1 K 0.1533 0.3750 0.3066
2 K 0.8467 0.6250 0.6934
3 K 0.1533 0.9316 0.3066
4 K 0.5000 0.0000 0.0000
5 K 0.8467 0.0684 0.6934
6 Na 0.6923 0.6923 0.3846
7 Na 0.0000 0.3428 0.0000
8 Na 0.3077 0.3077 0.6154
9 Na 0.0000 0.6572 0.0000
10 Ge 0.5554 0.5554 0.1108
11 Ge 0.4446 0.4446 0.8892


(2)
K2Na5Ge4: optimized geometry, PBE.

Computed properties:
uncorrected energy	-2.53	eV per atom

abc: 6.7166 7.8274 8.8230
angles: 66.78 67.63 64.59
Atoms (fractional coordinates):
1 K 0.2594 0.8676 0.6136
2 K 0.7406 0.1324 0.3864
3 Na 0.1402 0.3273 0.9038
4 Na 0.8598 0.6727 0.0962
5 Na 0.0000 0.5000 0.5000
6 Na 0.6286 0.3273 0.9038
7 Na 0.3714 0.6727 0.0962
8 Ge 0.4215 0.9941 0.1628
9 Ge 0.5785 0.0059 0.8372
10 Ge 0.7707 0.6939 0.7648
11 Ge 0.2293 0.3061 0.2352


(3)
KNaGe3: optimized geometry, PBE.

Computed properties:
uncorrected energy	-2.60	eV per atom
energy relative to the lowest polymorph listed for this composition	0.000	eV/f.u.

abc: 5.2660 5.2660 5.2660
angles: 90.00 90.00 90.00
Atoms (fractional coordinates):
1 Na 0.0000 0.0000 0.0000
2 Ge 0.0000 0.5000 0.0000
3 Ge 0.0000 0.0000 0.5000
4 Ge 0.5000 0.0000 0.0000
5 K 0.5000 0.5000 0.5000


(4)
KNa3Ge: optimized geometry, PBE.

Computed properties:
uncorrected energy	-1.19	eV per atom
energy relative to the lowest polymorph listed for this composition	3.759	eV/f.u.

abc: 5.8365 5.8365 5.8365
angles: 90.00 90.00 90.00
Atoms (fractional coordinates):
1 Na 0.0000 0.5000 0.0000
2 Na 0.0000 0.0000 0.5000
3 Na 0.5000 0.0000 0.0000
4 Ge 0.5000 0.5000 0.5000
5 K 0.0000 0.0000 0.0000


(5)
KNa3Ge: optimized geometry, PBE.

Computed properties:
uncorrected energy	-1.93	eV per atom
energy relative to the lowest polymorph listed for this composition	0.058	eV/f.u.

abc: 5.7750 5.7750 5.7750
angles: 90.00 90.00 90.00
Atoms (fractional coordinates):
1 Na 0.0000 0.5000 0.0000
2 Na 0.0000 0.0000 0.5000
3 Na 0.5000 0.0000 0.0000
4 Ge 0.0000 0.0000 0.0000
5 K 0.5000 0.5000 0.5000


(6)
KNa3Ge: optimized geometry, PBE.

Computed properties:
uncorrected energy	-1.95	eV per atom
energy relative to the lowest polymorph listed for this composition	0.000	eV/f.u.

abc: 7.2767 10.5746 10.5746
angles: 63.91 79.81 79.81
Atoms (fractional coordinates):
1 K 0.2500 0.9533 0.0467
2 K 0.7500 0.0467 0.9533
3 K 0.2500 0.3634 0.6366
4 K 0.7500 0.6366 0.3634
5 Na 0.5845 0.6560 0.9979
6 Na 0.9155 0.0021 0.3440
7 Na 0.4155 0.3440 0.0021
8 Na 0.0845 0.9979 0.6560
9 Na 0.9122 0.3463 0.9991
10 Na 0.5878 0.0009 0.6537
11 Na 0.0878 0.6537 0.0009
12 Na 0.4122 0.9991 0.3463
13 Na 0.4143 0.6717 0.6697
14 Na 0.0857 0.3303 0.3283
15 Na 0.5857 0.3283 0.3303
16 Na 0.9143 0.6697 0.6717
17 Ge 0.7162 0.4059 0.7321
18 Ge 0.7838 0.2679 0.5941
19 Ge 0.2838 0.5941 0.2679
20 Ge 0.2162 0.7321 0.4059


(7)
KNa6Ge: optimized geometry, PBE.

Computed properties:
uncorrected energy	-1.61	eV per atom

abc: 8.2582 8.2582 7.1881
angles: 54.94 54.94 60.00
Atoms (fractional coordinates):
1 K 0.5000 0.5000 0.5000
2 Na 0.8764 0.8764 0.7989
3 Na 0.4484 0.8764 0.7989
4 Na 0.1236 0.5516 0.2011
5 Na 0.5516 0.1236 0.2011
6 Na 0.1236 0.1236 0.2011
7 Na 0.8764 0.4484 0.7989
8 Ge 0.0000 0.0000 0.0000


(8)
KNa2Ge: optimized geometry, PBE.

Computed properties:
uncorrected energy	-1.90	eV per atom

abc: 5.0566 5.0566 11.3912
angles: 77.18 77.18 90.00
Atoms (fractional coordinates):
1 Na 0.7009 0.1250 0.2500
2 Na 0.0491 0.6250 0.2500
3 Na 0.3750 0.2991 0.7500
4 Na 0.8750 0.9509 0.7500
5 Ge 0.0000 0.0000 0.0000
6 Ge 0.7500 0.2500 0.5000
7 K 0.5000 0.5000 0.0000
8 K 0.2500 0.7500 0.5000


Question: Look up the uncorrected energy of the seventh one.
Answer: -1.61 eV per atom